# 1
A plane-wave DFT calculation with PBE-GGA was carried out for a relaxed LuScTeC crystal.

Cell lengths 3.656, 3.656, 13.468 Å; angles 90.00, 90.00, 120.00 degrees
Atoms (fractional coordinates):
1 Lu 0.333 0.667 0.000
2 Lu 0.667 0.333 0.500
3 Sc 0.333 0.667 0.319
4 Sc 0.667 0.333 0.819
5 Te 0.333 0.667 0.665
6 Te 0.667 0.333 0.165
7 C 0.000 0.000 0.408
8 C 0.000 0.000 0.908

***

# 2
A plane-wave DFT calculation with PBE-GGA was carried out for a relaxed LuScTeC crystal.

Cell lengths 3.655, 3.655, 13.475 Å; angles 90.00, 90.00, 120.00 degrees
Atoms (fractional coordinates):
1 Lu 0.000 0.000 0.165
2 Lu 0.000 0.000 0.835
3 Sc 0.333 0.667 0.346
4 Sc 0.333 0.667 0.654
5 Te 0.000 0.000 0.500
6 Te 0.333 0.667 0.000
7 C 0.667 0.333 0.257
8 C 0.667 0.333 0.743

***

# 3
A plane-wave DFT calculation with PBE-GGA was carried out for a relaxed Lu4Sc2Tl3C3 crystal.

Cell lengths 6.020, 6.020, 16.122 Å; angles 100.84, 100.84, 59.99 degrees
Atoms (fractional coordinates):
1 Lu 0.029 0.194 0.084
2 Lu 0.137 0.305 0.416
3 Lu 0.194 0.029 0.584
4 Lu 0.305 0.137 0.916
5 Lu 0.695 0.863 0.084
6 Lu 0.806 0.971 0.416
7 Lu 0.863 0.695 0.584
8 Lu 0.971 0.806 0.916
9 Sc 0.358 0.525 0.076
10 Sc 0.475 0.642 0.424
11 Sc 0.525 0.358 0.576
12 Sc 0.642 0.475 0.924
13 Tl 0.099 0.901 0.250
14 Tl 0.266 0.416 0.750
15 Tl 0.416 0.266 0.250
16 Tl 0.584 0.734 0.750
17 Tl 0.734 0.584 0.250
18 Tl 0.901 0.099 0.750
19 C 0.000 0.500 0.000
20 C 0.174 0.663 0.500
21 C 0.337 0.826 0.000
22 C 0.500 0.000 0.500
23 C 0.663 0.174 0.000
24 C 0.826 0.337 0.500

***

# 4
A plane-wave DFT calculation with PBE-GGA was carried out for a relaxed Lu2Sc4Zn3C3 crystal.

Cell lengths 5.786, 5.786, 15.091 Å; angles 101.16, 101.16, 59.91 degrees
Atoms (fractional coordinates):
1 Lu 0.033 0.868 0.599
2 Lu 0.132 0.967 0.901
3 Lu 0.868 0.033 0.099
4 Lu 0.967 0.132 0.401
5 Sc 0.193 0.358 0.080
6 Sc 0.304 0.475 0.420
7 Sc 0.358 0.193 0.580
8 Sc 0.475 0.304 0.920
9 Sc 0.525 0.696 0.080
10 Sc 0.642 0.807 0.420
11 Sc 0.696 0.525 0.580
12 Sc 0.807 0.642 0.920
13 Zn 0.085 0.403 0.750
14 Zn 0.403 0.085 0.250
15 Zn 0.421 0.579 0.250
16 Zn 0.579 0.421 0.750
17 Zn 0.597 0.915 0.750
18 Zn 0.915 0.597 0.250
19 C 0.000 0.500 0.500
20 C 0.166 0.667 0.000
21 C 0.333 0.834 0.500
22 C 0.500 0.000 0.000
23 C 0.667 0.166 0.500
24 C 0.834 0.333 0.000

***

# 5
A plane-wave DFT calculation with PBE-GGA was carried out for a relaxed Lu4Sc2Zn3C3 crystal.

Cell lengths 5.908, 5.908, 15.850 Å; angles 100.54, 100.54, 59.93 degrees
Atoms (fractional coordinates):
1 Lu 0.028 0.194 0.084
2 Lu 0.138 0.306 0.416
3 Lu 0.194 0.028 0.584
4 Lu 0.306 0.138 0.916
5 Lu 0.694 0.862 0.084
6 Lu 0.806 0.972 0.416
7 Lu 0.862 0.694 0.584
8 Lu 0.972 0.806 0.916
9 Sc 0.360 0.525 0.080
10 Sc 0.475 0.640 0.420
11 Sc 0.525 0.360 0.580
12 Sc 0.640 0.475 0.920
13 Zn 0.076 0.924 0.750
14 Zn 0.104 0.416 0.750
15 Zn 0.416 0.104 0.250
16 Zn 0.584 0.896 0.750
17 Zn 0.896 0.584 0.250
18 Zn 0.924 0.076 0.250
19 C 0.000 0.500 0.000
20 C 0.180 0.660 0.500
21 C 0.340 0.820 0.000
22 C 0.500 0.000 0.500
23 C 0.660 0.180 0.000
24 C 0.820 0.340 0.500

***

# 6
A plane-wave DFT calculation with PBE-GGA was carried out for a relaxed TbLuCSe crystal.

Cell lengths 3.725, 3.725, 13.142 Å; angles 90.00, 90.00, 120.00 degrees
Atoms (fractional coordinates):
1 Tb 0.333 0.667 0.000
2 Tb 0.667 0.333 0.500
3 Lu 0.333 0.667 0.699
4 Lu 0.667 0.333 0.199
5 C 0.000 0.000 0.102
6 C 0.000 0.000 0.602
7 Se 0.333 0.667 0.345
8 Se 0.667 0.333 0.845

***

# 7
A plane-wave DFT calculation with PBE-GGA was carried out for a relaxed TbLuCSe crystal.

Cell lengths 3.725, 3.725, 13.151 Å; angles 90.00, 90.00, 120.00 degrees
Atoms (fractional coordinates):
1 Tb 0.000 0.000 0.153
2 Tb 0.000 0.000 0.847
3 Lu 0.667 0.333 0.353
4 Lu 0.667 0.333 0.647
5 C 0.333 0.667 0.257
6 C 0.333 0.667 0.743
7 Se 0.000 0.000 0.500
8 Se 0.667 0.333 0.000

***

# 8
A plane-wave DFT calculation with PBE-GGA was carried out for a relaxed Lu4TeC2Se crystal.

Cell lengths 3.693, 3.693, 13.357 Å; angles 90.00, 90.00, 120.00 degrees
Atoms (fractional coordinates):
1 Lu 0.000 0.000 0.145
2 Lu 0.000 0.000 0.855
3 Lu 0.667 0.333 0.334
4 Lu 0.667 0.333 0.666
5 Te 0.000 0.000 0.500
6 C 0.333 0.667 0.241
7 C 0.333 0.667 0.759
8 Se 0.667 0.333 0.000

***

Computed E, in the same sequence as the records: -53.4 -53.4 -142.1 -141.0 -131.3 -53.0 -53.0 -51.5 eV per cell.
Computed size of the total moment, in the same sequence as the records: 0.00 0.00 0.34 0.07 0.01 0.00 0.00 0.00 μB per cell.